P.
This record from Alexandria via LeMat-Bulk describes VB3N after structural relaxation. The functional is PBE.

a b c (Å): 3.408 3.408 3.408
angles (deg): 90.00 90.00 90.00
Atoms (fractional coordinates):
V1 0.000 0.000 0.000
B1 0.000 0.500 0.500
B2 0.500 0.000 0.500
B3 0.500 0.500 0.000
N1 0.500 0.500 0.500

Calculated values
Crystal system ... cubic
Density of states at the Fermi level ... 3.3 states/eV/f.u.

=====

Q.
This record from Alexandria via LeMat-Bulk describes VB3N after structural relaxation. The functional is PBE.

a b c (Å): 4.068 4.068 4.068
angles (deg): 90.00 90.00 90.00
Atoms (fractional coordinates):
V1 0.000 0.000 0.000
B1 0.000 0.000 0.500
B2 0.000 0.500 0.000
B3 0.500 0.000 0.000
N1 0.500 0.500 0.500

Calculated values
Crystal system ... cubic
Density of states at the Fermi level ... 6.2 states/eV/f.u.

=====

From most stable to least stable, the computed energies give P, Q.

=====

P.
This record from Alexandria via LeMat-Bulk describes Y2BN after structural relaxation. The functional is PBE.

a b c (Å): 5.840 5.840 5.840
angles (deg): 114.60 114.60 99.64
Atoms (fractional coordinates):
Y1 0.086 0.625 0.961
Y2 0.375 0.336 0.461
Y3 0.664 0.125 0.039
Y4 0.875 0.914 0.539
B1 0.250 0.750 0.500
B2 0.500 0.500 0.000
N1 0.000 0.000 0.000
N2 0.750 0.250 0.500

Calculated values
Crystal system ... tetragonal
Density of states at the Fermi level ... 0.9 states/eV/f.u.

=====

Q.
This record from Alexandria via LeMat-Bulk describes Y2BN after structural relaxation. The functional is PBE.

a b c (Å): 4.455 4.455 4.455
angles (deg): 60.00 60.00 60.00
Atoms (fractional coordinates):
Y1 0.250 0.250 0.250
Y2 0.750 0.750 0.750
B1 0.000 0.000 0.000
N1 0.500 0.500 0.500

Calculated values
Crystal system ... cubic
Density of states at the Fermi level ... 4.5 states/eV/f.u.

=====

From most stable to least stable, the computed energies give P, Q.

=====

P.
This record from Alexandria via LeMat-Bulk describes YB3N after structural relaxation. The functional is PBE.

a b c (Å): 3.788 3.788 3.788
angles (deg): 90.00 90.00 90.00
Atoms (fractional coordinates):
Y1 0.000 0.000 0.000
B1 0.000 0.500 0.500
B2 0.500 0.000 0.500
B3 0.500 0.500 0.000
N1 0.500 0.500 0.500

Calculated values
Crystal system ... cubic
Density of states at the Fermi level ... 2.3 states/eV/f.u.

=====

Q.
This record from Alexandria via LeMat-Bulk describes YB3N after structural relaxation. The functional is PBE.

a b c (Å): 4.871 4.871 4.871
angles (deg): 90.00 90.00 90.00
Atoms (fractional coordinates):
Y1 0.000 0.000 0.000
B1 0.000 0.000 0.500
B2 0.000 0.500 0.000
B3 0.500 0.000 0.000
N1 0.500 0.500 0.500

Calculated values
Crystal system ... cubic
Density of states at the Fermi level ... 3.5 states/eV/f.u.

=====

From most stable to least stable, the computed energies give P, Q.

=====

P.
This record from Alexandria via LeMat-Bulk describes ZnB2N after structural relaxation. The functional is PBE.

a b c (Å): 3.793 3.793 3.793
angles (deg): 60.00 60.00 60.00
Atoms (fractional coordinates):
Zn1 0.000 0.000 0.000
B1 0.250 0.250 0.250
B2 0.750 0.750 0.750
N1 0.500 0.500 0.500

Calculated values
Crystal system ... cubic
Density of states at the Fermi level ... 2.6 states/eV/f.u.

=====

Q.
This record from Alexandria via LeMat-Bulk describes ZnB2N after structural relaxation. The functional is PBE.

a b c (Å): 4.808 4.808 4.808
angles (deg): 124.23 124.23 82.81
Atoms (fractional coordinates):
Zn1 0.000 0.000 0.000
Zn2 0.750 0.250 0.500
B1 0.225 0.625 0.100
B2 0.375 0.475 0.600
B3 0.525 0.125 0.900
B4 0.875 0.775 0.400
N1 0.250 0.750 0.500
N2 0.500 0.500 0.000

Calculated values
Crystal system ... tetragonal
Density of states at the Fermi level ... 2.9 states/eV/f.u.

=====

From most stable to least stable, the computed energies give Q, P.